# Rb2ZnPdO4 PBE-GGA optimized geometry
data_Rb2ZnPdO4
_chemical_formula_sum 'Rb16 Zn8 Pd8 O32'
_space_group_name_H-M_alt 'F d d d'
_space_group_IT_number 70
_cell_length_a 5.838
_cell_length_b 12.393
_cell_length_c 19.525
_cell_angle_alpha 90.00
_cell_angle_beta 90.00
_cell_angle_gamma 90.00
loop_
_space_group_symop_operation_xyz
'x,y,z'
'-x,-y,-z'
'-x+1/4,-y+1/4,z'
'x+1/4,y+1/4,-z'
'x,-y+1/4,-z+1/4'
'-x,y+1/4,z+1/4'
'-x+1/4,y,-z+1/4'
'x+1/4,-y,z+1/4'
'x,y+1/2,z+1/2'
'-x,-y+1/2,-z+1/2'
'-x+1/4,-y+3/4,z+1/2'
'x+1/4,y+3/4,-z+1/2'
'x,-y+3/4,-z+3/4'
'-x,y+3/4,z+3/4'
'-x+1/4,y+1/2,-z+3/4'
'x+1/4,-y+1/2,z+3/4'
'x+1/2,y,z+1/2'
'-x+1/2,-y,-z+1/2'
'-x+3/4,-y+1/4,z+1/2'
'x+3/4,y+1/4,-z+1/2'
'x+1/2,-y+1/4,-z+3/4'
'-x+1/2,y+1/4,z+3/4'
'-x+3/4,y,-z+3/4'
'x+3/4,-y,z+3/4'
'x+1/2,y+1/2,z'
'-x+1/2,-y+1/2,-z'
'-x+3/4,-y+3/4,z'
'x+3/4,y+3/4,-z'
'x+1/2,-y+3/4,-z+1/4'
'-x+1/2,y+3/4,z+1/4'
'-x+3/4,y+1/2,-z+1/4'
'x+3/4,-y+1/2,z+1/4'
loop_
_atom_site_label
_atom_site_fract_x
_atom_site_fract_y
_atom_site_fract_z
_atom_site_occupancy
Rb1 0.125 0.125 0.304 1
Zn1 0.125 0.125 0.125 1
Pd1 0.125 0.125 0.625 1
O1 0.125 0.286 0.413 1
# - Electronic total energy: -0.3198 Ry/atom
# - Uncorrected formation energy: -0.822 eV per atom
# - Mass density: 3.825 g cm⁻³
# - Total magnetic moment: 0.000 μB per cell